1.
# La3Sm5Er

A relaxed structure of La3Sm5Er (PBE, Alexandria via LeMat-Bulk).

Properties
Energy of formation from the pure elements ... 0.41 eV/atom

abc: 7.488 7.488 12.903
angles: 80.74 80.74 68.51
Fractional coordinates of all 18 atoms:
Sm 0.261 0.261 0.970
La 0.000 0.000 0.500
La 0.000 0.000 0.000
Sm 0.739 0.739 0.030
Sm 0.318 0.682 0.000
La 0.730 0.730 0.533
Sm 0.058 0.670 0.776
La 0.270 0.270 0.467
Sm 0.330 0.942 0.224
Sm 0.942 0.330 0.224
Sm 0.440 0.440 0.624
Er 0.138 0.138 0.737
La 0.608 0.608 0.786
La 0.392 0.392 0.214
Sm 0.560 0.560 0.376
Sm 0.670 0.058 0.776
Er 0.862 0.862 0.263
Sm 0.682 0.318 0.000

=====

2.
# NdHoLuHg

A relaxed structure of NdHoLuHg (PBE, Alexandria via LeMat-Bulk).

Properties
Energy of formation from the pure elements ... -0.07 eV/atom

abc: 5.432 5.432 5.432
angles: 60.00 60.00 60.00
Fractional coordinates of all 4 atoms:
Nd 0.000 0.000 0.000
Hg 0.750 0.750 0.750
Ho 0.500 0.500 0.500
Lu 0.250 0.250 0.250

=====

3.
# CaLu2Pt

A relaxed structure of CaLu2Pt (PBE, Alexandria via LeMat-Bulk).

Properties
Energy of formation from the pure elements ... -0.59 eV/atom
Polymorph energy (0 for the lowest one) ... 0.0172 eV per atom

abc: 4.011 4.011 9.491
angles: 77.80 77.80 60.00
Fractional coordinates of all 4 atoms:
Lu 0.720 0.720 0.840
Pt 0.000 0.000 0.000
Lu 0.280 0.280 0.160
Ca 0.500 0.500 0.500

=====

4.
# Y2Ho6Sc

A relaxed structure of Y2Ho6Sc (PBE, Alexandria via LeMat-Bulk).

Properties
Energy of formation from the pure elements ... 0.06 eV/atom
Polymorph energy (0 for the lowest one) ... 0.0225 eV per atom

abc: 3.552 3.552 25.648
angles: 90.00 90.00 120.00
Fractional coordinates of all 9 atoms:
Ho 0.333 0.667 0.213
Y 0.667 0.333 0.325
Ho 0.333 0.667 0.566
Sc 0.333 0.667 0.000
Ho 0.667 0.333 0.103
Ho 0.333 0.667 0.787
Y 0.667 0.333 0.675
Ho 0.333 0.667 0.434
Ho 0.667 0.333 0.897

=====

5.
# ErNiBi

A relaxed structure of ErNiBi (PBE, Alexandria via LeMat-Bulk).

Properties
Energy of formation from the pure elements ... -0.45 eV/atom

abc: 4.100 4.373 4.373
angles: 120.00 90.00 90.00
Fractional coordinates of all 3 atoms:
Ni 0.245 0.667 0.333
Er 0.629 0.333 0.667
Bi 0.125 0.000 0.000

=====

6.
# Sm4SbPt2

A relaxed structure of Sm4SbPt2 (PBE, Alexandria via LeMat-Bulk).

Properties
E_form (uncorrected) ... -0.95 eV/atom

abc: 7.971 7.975 7.889
angles: 108.42 108.39 112.05
Fractional coordinates of all 14 atoms:
Sm 0.854 0.619 0.121
Pt 0.733 0.880 0.362
Sm 0.397 0.002 0.251
Sm 0.498 0.733 0.880
Sm 0.869 0.602 0.620
Pt 0.519 0.372 0.640
Pt 0.129 0.481 0.860
Sm 0.750 0.145 0.750
Sm 0.250 0.145 0.750
Sb 0.001 0.001 0.000
Sm 0.983 0.249 0.379
Sb 0.251 0.751 0.500
Pt 0.621 0.268 0.138
Sm 0.396 0.501 0.249

=====

What did we get for V? Answer: 660.3, 113.3, 128.2, 280.3, 67.9, 383.5 Å³/cell, in the order shown.
What did we get for spin magnetization? Answer: 0.000, 0.105, 0.000, 0.940, 0.000, 0.000 μB per cell, in the order shown.